A:
DFT (GGA-PBE) results for crystalline SmCd2Pd3 at its relaxed geometry.

Cell: 4.8171 4.8171 5.7591 Å, 90.00 90.00 120.00°
Element x y z (fractional)
Sm  0.0000  0.0000  0.0000
Cd  0.3333  0.6667  0.6773
Cd  0.6667  0.3333  0.3227
Pd  0.0000  0.0000  0.5000
Pd  0.3333  0.6667  0.1968
Pd  0.6667  0.3333  0.8032

M_tot, μB per cell: 0.00
Fermi-level density of states, states/eV per atom: 0.5063


B:
DFT (GGA-PBE) results for crystalline SmCd2Pd3 at its relaxed geometry.

Cell: 4.7796 4.7796 11.7232 Å, 90.00 90.00 120.00°
Element x y z (fractional)
Sm  0.3333  0.6667  0.1713
Sm  0.6667  0.3333  0.8287
Cd  0.0000  0.0000  0.0000
Cd  0.0000  0.0000  0.5000
Cd  0.3333  0.6667  0.6619
Cd  0.6667  0.3333  0.3381
Pd  0.0000  0.0000  0.2635
Pd  0.0000  0.0000  0.7365
Pd  0.3333  0.6667  0.4206
Pd  0.3333  0.6667  0.9171
Pd  0.6667  0.3333  0.0829
Pd  0.6667  0.3333  0.5794

M_tot, μB per cell: 0.00
Fermi-level density of states, states/eV per atom: 0.4262


What should be chosen as the least stable of them? Choose A.